Entry 1:
Computed, not measured: K2UF5 after structural relaxation at the PBE level of DFT.

Computed properties:
crystal system	monoclinic
distance to the lowest polymorph of the same formula	0.70	eV/f.u.

Lattice parameters (Å, degrees): 10.3488 9.1468 6.6668 90.00 125.00 90.00
Space group Cm (No. 8)
Asymmetric unit:
K  0.0000  0.2281  0.0000 x4
U  0.3520  0.5000  0.3185 x2
F  0.0619  0.0000  0.3096 x2
F  0.0935  0.5000  0.1609 x2
F  0.2903  0.2911  0.1177 x4
F  0.4343  0.5000  0.7075 x2



Entry 2:
Computed, not measured: KCu2Os after structural relaxation at the PBE level of DFT.

Computed properties:
crystal system	monoclinic
distance to the lowest polymorph of the same formula	0.30	eV/f.u.
formation enthalpy at 0 K	0.695	eV per atom

Lattice parameters (Å, degrees): 8.7512 2.6219 6.7284 90.00 94.54 90.00
Space group C2/m (No. 12)
Asymmetric unit:
K  0.0000  0.0000  0.0000 x2
Cu  0.2357  0.0000  0.6539 x4
Os  0.0000  0.5000  0.5000 x2



Entry 3:
Computed, not measured: TbPa2PdN5 after structural relaxation at the PBE level of DFT.

Computed properties:
crystal system	orthorhombic
total DFT energy (no corrections)	-8.8475	eV per atom

Lattice parameters (Å, degrees): 3.5297 13.0028 10.9641 90.00 90.00 90.00
Space group Cmc2_1 (No. 36)
Asymmetric unit:
Tb  0.0000  0.2043  0.0000 x4
Pa  0.0000  0.0994  0.6878 x4
Pa  0.0000  0.1468  0.2832 x4
Pd  0.0000  0.4776  0.4647 x4
N  0.0000  0.0581  0.1082 x4
N  0.0000  0.2730  0.6804 x4
N  0.0000  0.3267  0.3611 x4
N  0.0000  0.3781  0.0519 x4
N  0.0000  0.4675  0.7905 x4



Entry 4:
Computed, not measured: Li2DyEr2Ga2 after structural relaxation at the PBE level of DFT.

Computed properties:
crystal system	trigonal
formation enthalpy at 0 K	-0.275	eV per atom

Lattice parameters (Å, degrees): 4.5817 4.5817 26.0784 90.00 90.00 120.00
Space group R-3m (No. 166, hexagonal axes)
Asymmetric unit:
Li  0.0000  0.0000  0.1013 x6
Dy  0.0000  0.0000  0.5000 x3
Er  0.0000  0.0000  0.3734 x6
Ga  0.0000  0.0000  0.2393 x6



Entry 5:
Computed, not measured: TbPbAu4 after structural relaxation at the PBE level of DFT.

Computed properties:
crystal system	cubic
formation enthalpy at 0 K	-0.379	eV per atom

Lattice parameters (Å, degrees): 8.0308 8.0308 8.0308 90.00 90.00 90.00
Space group F-43m (No. 216)
Asymmetric unit:
Tb  0.0000  0.0000  0.0000 x4
Pb  0.2500  0.2500  0.2500 x4
Au  0.1252  0.1252  0.6252 x16



Entry 6:
Computed, not measured: TmZn2Au3 after structural relaxation at the PBE level of DFT.

Computed properties:
crystal system	hexagonal
formation enthalpy at 0 K	-0.513	eV per atom

Lattice parameters (Å, degrees): 4.5289 4.5289 12.6184 90.00 90.00 120.00
Space group P6_3/mmc (No. 194)
Asymmetric unit:
Tm  0.0000  0.0000  0.2500 x2
Zn  0.3333  0.6667  0.0835 x4
Au  0.0000  0.0000  0.0000 x2
Au  0.3333  0.6667  0.6334 x4



Entry 7:
Computed, not measured: TiHgRu2 after structural relaxation at the PBE level of DFT.

Computed properties:
crystal system	tetragonal
formation enthalpy at 0 K	0.496	eV per atom

Lattice parameters (Å, degrees): 4.0371 4.0371 17.7729 90.00 90.00 90.00
Space group I-42d (No. 122)
Asymmetric unit:
Ti  0.0000  0.0000  0.0000 x4
Hg  0.0000  0.0000  0.5000 x4
Ru  0.1787  0.2500  0.1250 x8



Entry 8:
Computed, not measured: NdSm2I after structural relaxation at the PBE level of DFT.

Computed properties:
crystal system	trigonal
distance to the lowest polymorph of the same formula	0.00	eV/f.u.

Lattice parameters (Å, degrees): 3.8247 3.8247 32.2325 90.00 90.00 120.00
Space group R3m (No. 160, hexagonal axes)
Asymmetric unit:
Nd  0.0000  0.0000  0.0000 x3
Sm  0.0000  0.0000  0.5776 x3
Sm  0.0000  0.0000  0.7563 x3
I  0.0000  0.0000  0.1667 x3



Entry 9:
Computed, not measured: Y5Cd2Pt2 after structural relaxation at the PBE level of DFT.

Computed properties:
crystal system	orthorhombic
formation enthalpy at 0 K	-0.695	eV per atom

Lattice parameters (Å, degrees): 16.0563 7.7693 7.5972 90.00 90.00 90.00
Space group Cmce (No. 64)
Asymmetric unit:
Y  0.0000  0.0000  0.0000 x4
Y  0.1212  0.1761  0.3301 x16
Cd  0.2164  0.0000  0.0000 x8
Pt  0.0000  0.1309  0.6315 x8



Entry 10:
Computed, not measured: Sm3Ho5Er4 after structural relaxation at the PBE level of DFT.

Computed properties:
crystal system	triclinic
distance to the lowest polymorph of the same formula	0.00	eV/f.u.
formation enthalpy at 0 K	0.019	eV per atom

Lattice parameters (Å, degrees): 6.1332 7.0856 8.6702 90.02 90.10 90.15
Space group P-1 (No. 2)
Asymmetric unit:
Sm  0.0000  0.0000  0.0000 x1
Sm  0.1661  0.7495  0.6661 x2
Ho  0.0000  0.5000  0.0000 x1
Ho  0.3345  0.9998  0.3333 x2
Ho  0.4991  0.2511  0.0000 x2
Er  0.1678  0.2512  0.6664 x2
Er  0.3336  0.4998  0.3332 x2



Entry 11:
Computed, not measured: PrY2Sn after structural relaxation at the PBE level of DFT.

Computed properties:
crystal system	orthorhombic
distance to the lowest polymorph of the same formula	0.09	eV/f.u.
formation enthalpy at 0 K	-0.407	eV per atom

Lattice parameters (Å, degrees): 4.3023 12.5813 9.5081 90.00 90.00 90.00
Space group Cmcm (No. 63)
Asymmetric unit:
Pr  0.0000  0.0572  0.2500 x4
Y  0.0000  0.3613  0.0488 x8
Sn  0.0000  0.2423  0.7500 x4



Entry 12:
Computed, not measured: Ta3SiRu after structural relaxation at the PBE level of DFT.

Computed properties:
crystal system	cubic
distance to the lowest polymorph of the same formula	1.29	eV/f.u.

Lattice parameters (Å, degrees): 4.7627 4.7627 4.7627 90.00 90.00 90.00
Space group Pm-3m (No. 221)
Asymmetric unit:
Ta  0.0000  0.0000  0.5000 x3
Si  0.5000  0.5000  0.5000 x1
Ru  0.0000  0.0000  0.0000 x1



How do the records compare in calculated density? In the order shown, they have 2.64; 7.69; 10.53; 6.83; 14.80; 13.20; 10.33; 6.98; 7.43; 8.57; 5.65; 10.33 Mg/m³.